(1)
A geometry-optimized Ac2TlAs structure. Source: the Alexandria database, functional PBE.

Summary:
Relative energy among the computed polymorphs = 0 kJ/mol of formula units
SG = P4/mmm (123)
Fermi-level density of states = 0.863 states/eV/atom

Unit cell a=3.9319 b=3.9319 c=8.2886 alpha=90.00 beta=90.00 gamma=90.00
Last column: nearest neighbours and their distance in Å.
Fractional coordinates of all 4 atoms:
As (0.5000, 0.5000, 0.0000)  8 Ac 3.33
Ac (0.0000, 0.0000, 0.7794)  4 As 3.33, 4 Tl 3.62, 1 Ac 3.66
Ac (0.0000, 0.0000, 0.2206)  4 As 3.33, 4 Tl 3.62, 1 Ac 3.66
Tl (0.5000, 0.5000, 0.5000)  8 Ac 3.62, 4 Tl 3.93

=====

(2)
A geometry-optimized Ba2BeSe3 structure. Source: the Alexandria database, functional PBE.

Summary:
Uncorrected formation energy = -152.5 kJ per mole of atoms
SG = C2/c (15)
Fermi-level density of states = 0.000 states/eV/atom

Unit cell a=6.8855 b=7.5790 c=15.2667 alpha=88.67 beta=87.08 gamma=62.98
Last column: nearest neighbours and their distance in Å.
Fractional coordinates of all 24 atoms:
Ba (0.5756, 0.3968, 0.3433)  6 Se 3.26-3.65
Ba (0.0276, 0.3968, 0.1567)  6 Se 3.26-3.65
Ba (0.4244, 0.6032, 0.6567)  6 Se 3.26-3.65
Ba (0.9724, 0.6032, 0.8433)  6 Se 3.26-3.65
Ba (0.3490, 0.7938, 0.0734)  7 Se 3.24-3.55
Ba (0.8572, 0.7938, 0.4266)  7 Se 3.24-3.55
Ba (0.6510, 0.2062, 0.9266)  7 Se 3.24-3.55
Ba (0.1428, 0.2062, 0.5734)  7 Se 3.24-3.55
Be (0.7338, 0.9990, 0.1640)  4 Se 2.28-2.31
Be (0.2672, 0.9990, 0.3360)  4 Se 2.28-2.31
Be (0.2662, 0.0010, 0.8360)  4 Se 2.28-2.31
Be (0.7328, 0.0010, 0.6640)  4 Se 2.28-2.31
Se (0.5781, 0.8438, 0.2500)  2 Be 2.28
Se (0.4219, 0.1562, 0.7500)  2 Be 2.28
Se (0.5387, 0.3296, 0.1347)  1 Be 2.29
Se (0.1316, 0.3296, 0.3653)  1 Be 2.29
Se (0.4613, 0.6704, 0.8653)  1 Be 2.29
Se (0.8684, 0.6704, 0.6347)  1 Be 2.29
Se (0.6625, 0.1962, 0.5419)  1 Be 2.28
Se (0.1413, 0.1962, 0.9581)  1 Be 2.28
Se (0.3375, 0.8038, 0.4581)  1 Be 2.28
Se (0.8587, 0.8038, 0.0419)  1 Be 2.28
Se (0.0097, 0.9807, 0.2500)  2 Be 2.31
Se (0.9903, 0.0193, 0.7500)  2 Be 2.31

=====

(3)
A geometry-optimized TaTl2Se structure. Source: the Alexandria database, functional PBE.

Summary:
Uncorrected formation energy = 12.1 kJ per mole of atoms
Relative energy among the computed polymorphs = 71 kJ/mol of formula units
SG = Imm2 (44)
Fermi-level density of states = 0.511 states/eV/atom

Unit cell a=7.2830 b=7.2830 c=7.2830 alpha=154.59 beta=139.98 gamma=48.00
Last column: nearest neighbours and their distance in Å.
Fractional coordinates of all 4 atoms:
Se (0.5763, 0.5763, 0.0000)  2 Ta 2.53
Ta (0.7233, 0.2233, 0.5000)  2 Se 2.53
Tl (0.9391, 0.9391, 0.0000)  4 Tl 3.20-3.44, 2 Ta 3.29, 4 Se 3.48
Tl (0.2614, 0.7614, 0.5000)  4 Ta 3.01, 2 Tl 3.20

=====

(4)
A geometry-optimized SrYB structure. Source: the Alexandria database, functional PBE.

Summary:
Relative energy among the computed polymorphs = 16 kJ/mol of formula units
SG = P1 (1)
Fermi-level density of states = 1.299 states/eV/atom

Unit cell a=3.3065 b=13.7488 c=3.9696 alpha=82.28 beta=65.48 gamma=90.35
Last column: nearest neighbours and their distance in Å.
Fractional coordinates of all 6 atoms:
Y (0.2241, 0.9273, 0.3194)  6 B 2.61-2.89
Y (0.4579, 0.7105, 0.8417)  5 Y 3.31-3.67
Sr (0.3128, 0.2024, 0.1603)  6 B 2.84-3.10
Sr (0.0936, 0.4768, 0.5310)  2 Sr 3.31
B (0.9898, 0.0535, 0.7960)  2 B 1.69
B (0.5379, 0.0525, 0.6997)  2 B 1.69

=====

(5)
A geometry-optimized CaZrOs2 structure. Source: the Alexandria database, functional PBE.

Summary:
Final energy = -31.43 eV per cell
SG = Pm (6)
Fermi-level density of states = 1.137 states/eV/atom

Unit cell a=4.6239 b=2.9027 c=5.5515 alpha=78.36 beta=90.00 gamma=90.00
Last column: nearest neighbours and their distance in Å.
Fractional coordinates of all 4 atoms:
Ca (0.5000, 0.7356, 0.7642)  4 Os 2.77-2.95, 2 Ca 2.90, 2 Zr 2.97
Os (0.0000, 0.0147, 0.0123)  1 Zr 2.70, 4 Os 2.81-2.90, 2 Ca 2.89
Os (0.5000, 0.2485, 0.2480)  2 Ca 2.77-2.95, 2 Zr 2.80, 4 Os 2.81-2.90
Zr (0.0000, 0.5013, 0.4755)  3 Os 2.70-2.80, 2 Zr 2.90, 2 Ca 2.97

=====

(6)
A geometry-optimized AcLa3Dy2As6 structure. Source: the Alexandria database, functional PBE.

Summary:
Final energy = -74.18 eV per cell
SG = C2/m (12)
Fermi-level density of states = 0.070 states/eV/atom

Unit cell a=7.4957 b=7.4957 c=7.4861 alpha=99.63 beta=99.63 gamma=120.00
Last column: nearest neighbours and their distance in Å.
Fractional coordinates of all 12 atoms:
Ac (0.0000, 0.0000, 0.0000)  6 As 3.11-3.12
La (0.1647, 0.8353, 0.5000)  6 As 3.02-3.12
La (0.8353, 0.1647, 0.5000)  6 As 3.02-3.12
La (0.5000, 0.5000, 0.5000)  6 As 3.01-3.12
Dy (0.3325, 0.6675, 0.0000)  6 As 2.99-3.00
Dy (0.6675, 0.3325, 0.0000)  6 As 2.99-3.00
As (0.9182, 0.5720, 0.7552)  2 Dy 2.99-3.00, 3 La 3.02-3.12, 1 Ac 3.12
As (0.7347, 0.7347, 0.2430)  2 Dy 3.00, 3 La 3.01-3.11, 1 Ac 3.11
As (0.0818, 0.4280, 0.2448)  2 Dy 2.99-3.00, 3 La 3.02-3.12, 1 Ac 3.12
As (0.5720, 0.9182, 0.7552)  2 Dy 2.99-3.00, 3 La 3.02-3.12, 1 Ac 3.12
As (0.2653, 0.2653, 0.7570)  2 Dy 3.00, 3 La 3.01-3.11, 1 Ac 3.11
As (0.4280, 0.0818, 0.2448)  2 Dy 2.99-3.00, 3 La 3.02-3.12, 1 Ac 3.12

=====

(7)
A geometry-optimized SmScHgPb structure. Source: the Alexandria database, functional PBE.

Summary:
Final energy = -16.71 eV per cell
SG = F-43m (216)
Fermi-level density of states = 1.216 states/eV/atom

Unit cell a=5.2657 b=5.2657 c=5.2657 alpha=60.00 beta=60.00 gamma=60.00
Last column: nearest neighbours and their distance in Å.
Fractional coordinates of all 4 atoms:
Pb (0.7500, 0.7500, 0.7500)  4 Sc 3.22, 4 Sm 3.22
Sc (0.0000, 0.0000, 0.0000)  4 Hg 3.22, 4 Pb 3.22
Hg (0.2500, 0.2500, 0.2500)  4 Sc 3.22, 4 Sm 3.22
Sm (0.5000, 0.5000, 0.5000)  4 Hg 3.22, 4 Pb 3.22

=====

(8)
A geometry-optimized NbGaNi5 structure. Source: the Alexandria database, functional PBE.

Summary:
Relative energy among the computed polymorphs = 118 kJ/mol of formula units
SG = P4/mmm (123)
Fermi-level density of states = 0.934 states/eV/atom

Unit cell a=3.5113 b=3.5113 c=7.4224 alpha=90.00 beta=90.00 gamma=90.00
Last column: nearest neighbours and their distance in Å.
Fractional coordinates of all 7 atoms:
Nb (0.5000, 0.5000, 0.0000)  8 Ni 2.54
Ga (0.0000, 0.0000, 0.5000)  12 Ni 2.48-2.57
Ni (0.0000, 0.5000, 0.7522)  6 Ni 2.48-2.57, 2 Nb 2.54, 2 Ga 2.57
Ni (0.0000, 0.5000, 0.2478)  6 Ni 2.48-2.57, 2 Nb 2.54, 2 Ga 2.57
Ni (0.5000, 0.0000, 0.7522)  6 Ni 2.48-2.57, 2 Nb 2.54, 2 Ga 2.57
Ni (0.5000, 0.0000, 0.2478)  6 Ni 2.48-2.57, 2 Nb 2.54, 2 Ga 2.57
Ni (0.5000, 0.5000, 0.5000)  4 Ga 2.48, 8 Ni 2.57

=====

(9)
A geometry-optimized Pm3YRh3 structure. Source: the Alexandria database, functional PBE.

Summary:
Relative energy among the computed polymorphs = 43 kJ/mol of formula units
SG = C2/m (12)
Fermi-level density of states = 0.657 states/eV/atom

Unit cell a=6.9976 b=6.9976 c=7.0953 alpha=90.46 beta=90.46 gamma=96.66
Last column: nearest neighbours and their distance in Å.
Fractional coordinates of all 14 atoms:
Pm (0.6703, 0.6703, 0.3768)  3 Rh 2.82-2.85
Pm (0.1809, 0.8191, 0.5000)  6 Rh 2.90-2.97
Pm (0.8191, 0.1809, 0.5000)  6 Rh 2.90-2.97
Pm (0.2495, 0.7505, 0.0000)  6 Rh 3.01-3.02
Pm (0.7505, 0.2495, 0.0000)  6 Rh 3.01-3.02
Pm (0.3297, 0.3297, 0.6232)  3 Rh 2.82-2.85
Y (0.7541, 0.7541, 0.8774)  4 Rh 2.80-2.91
Y (0.2459, 0.2459, 0.1226)  4 Rh 2.80-2.91
Rh (0.9394, 0.9394, 0.1982)  5 Pm 2.82-3.02, 2 Y 2.84-2.91, 1 Rh 3.04
Rh (0.9950, 0.4983, 0.7298)  1 Y 2.80, 5 Pm 2.85-3.02
Rh (0.4983, 0.9950, 0.7298)  1 Y 2.80, 5 Pm 2.85-3.02
Rh (0.0050, 0.5017, 0.2702)  1 Y 2.80, 5 Pm 2.85-3.02
Rh (0.5017, 0.0050, 0.2702)  1 Y 2.80, 5 Pm 2.85-3.02
Rh (0.0606, 0.0606, 0.8018)  5 Pm 2.82-3.02, 2 Y 2.84-2.91, 1 Rh 3.04

=====

(10)
A geometry-optimized HPbNF2 structure. Source: the Alexandria database, functional PBE.

Summary:
Relative energy among the computed polymorphs = 184 kJ/mol of formula units
SG = P4/mmm (123)
Fermi-level density of states = 0.124 states/eV/atom

Unit cell a=4.6011 b=4.6011 c=4.7856 alpha=90.00 beta=90.00 gamma=90.00
Last column: nearest neighbours and their distance in Å.
Fractional coordinates of all 5 atoms:
Pb (0.0000, 0.0000, 0.0000)  4 F 2.30, 2 N 2.39
H (0.5000, 0.5000, 0.5000)  4 N 3.25, 8 F 3.32
N (0.0000, 0.0000, 0.5000)  2 Pb 2.39
F (0.0000, 0.5000, 0.0000)  2 Pb 2.30
F (0.5000, 0.0000, 0.0000)  2 Pb 2.30

=====

(11)
A geometry-optimized CsLiIn3 structure. Source: the Alexandria database, functional PBE.

Summary:
Relative energy among the computed polymorphs = 421 kJ/mol of formula units
SG = Pm-3m (221)
Fermi-level density of states = 1.778 states/eV/atom

Unit cell a=6.5808 b=6.5808 c=6.5808 alpha=90.00 beta=90.00 gamma=90.00
Last column: nearest neighbours and their distance in Å.
Fractional coordinates of all 5 atoms:
Cs (0.0000, 0.0000, 0.0000)  6 In 3.29
Li (0.5000, 0.5000, 0.5000)  12 In 4.65
In (0.0000, 0.5000, 0.0000)  2 Cs 3.29
In (0.0000, 0.0000, 0.5000)  2 Cs 3.29
In (0.5000, 0.0000, 0.0000)  2 Cs 3.29

=====

(12)
A geometry-optimized Na2CdAg structure. Source: the Alexandria database, functional PBE.

Summary:
Final energy = -12.27 eV per cell
SG = I-42d (122)
Fermi-level density of states = 0.379 states/eV/atom

Unit cell a=8.4477 b=8.4477 c=6.6310 alpha=50.43 beta=50.43 gamma=90.00
Last column: nearest neighbours and their distance in Å.
Fractional coordinates of all 8 atoms:
Na (0.6028, 0.1250, 0.2500)  2 Na 2.90, 2 Ag 2.95, 2 Cd 3.20
Na (0.1472, 0.6250, 0.2500)  2 Na 2.90, 2 Ag 2.95, 2 Cd 3.20
Na (0.3750, 0.3972, 0.7500)  2 Na 2.90, 2 Ag 2.95, 2 Cd 3.20
Na (0.8750, 0.8528, 0.7500)  2 Na 2.90, 2 Ag 2.95, 2 Cd 3.20
Ag (0.5000, 0.5000, 0.0000)  2 Cd 2.88, 4 Na 2.95
Ag (0.2500, 0.7500, 0.5000)  2 Cd 2.88, 4 Na 2.95
Cd (0.0000, 0.0000, 0.0000)  2 Ag 2.88, 4 Na 3.20
Cd (0.7500, 0.2500, 0.5000)  2 Ag 2.88, 4 Na 3.20

=====

(13)
A geometry-optimized MnAlFeGe structure. Source: the Alexandria database, functional PBE.

Summary:
Relative energy among the computed polymorphs = 10 kJ/mol of formula units
SG = F-43m (216)
Fermi-level density of states = 1.381 states/eV/atom

Unit cell a=4.0871 b=4.0871 c=4.0871 alpha=60.00 beta=60.00 gamma=60.00
Last column: nearest neighbours and their distance in Å.
Fractional coordinates of all 4 atoms:
Ge (0.2500, 0.2500, 0.2500)  4 Mn 2.50, 4 Fe 2.50
Mn (0.5000, 0.5000, 0.5000)  4 Ge 2.50, 4 Al 2.50
Fe (0.0000, 0.0000, 0.0000)  4 Ge 2.50, 4 Al 2.50
Al (0.7500, 0.7500, 0.7500)  4 Mn 2.50, 4 Fe 2.50

=====

(14)
A geometry-optimized LaEuTlHg structure. Source: the Alexandria database, functional PBE.

Summary:
Final energy = -19.80 eV per cell
SG = F-43m (216)
Fermi-level density of states = 2.401 states/eV/atom

Unit cell a=5.5810 b=5.5810 c=5.5810 alpha=60.00 beta=60.00 gamma=60.00
Last column: nearest neighbours and their distance in Å.
Fractional coordinates of all 4 atoms:
Eu (0.2500, 0.2500, 0.2500)  4 Tl 3.42, 4 Hg 3.42
Tl (0.0000, 0.0000, 0.0000)  4 La 3.42, 4 Eu 3.42
Hg (0.5000, 0.5000, 0.5000)  4 Eu 3.42, 4 La 3.42
La (0.7500, 0.7500, 0.7500)  4 Hg 3.42, 4 Tl 3.42

=====

(15)
A geometry-optimized CaCo2Au2 structure. Source: the Alexandria database, functional PBE.

Summary:
Relative energy among the computed polymorphs = 0 kJ/mol of formula units
SG = I4/mmm (139)
Fermi-level density of states = 0.912 states/eV/atom

Unit cell a=3.6706 b=3.6706 c=7.2380 alpha=75.31 beta=75.31 gamma=90.00
Last column: nearest neighbours and their distance in Å.
Fractional coordinates of all 5 atoms:
Co (0.7500, 0.2500, 0.5000)  4 Co 2.60, 4 Au 2.67
Co (0.2500, 0.7500, 0.5000)  4 Co 2.60, 4 Au 2.67
Ca (0.0000, 0.0000, 0.0000)  8 Au 2.97
Au (0.3932, 0.3932, 0.2137)  4 Co 2.67, 1 Au 2.89, 4 Ca 2.97
Au (0.6068, 0.6068, 0.7863)  4 Co 2.67, 1 Au 2.89, 4 Ca 2.97

=====

(16)
A geometry-optimized SrAsP2 structure. Source: the Alexandria database, functional PBE.

Summary:
Final energy = -17.69 eV per cell
SG = P4/mmm (123)
Fermi-level density of states = 0.670 states/eV/atom

Unit cell a=3.8096 b=3.8096 c=5.9582 alpha=90.00 beta=90.00 gamma=90.00
Last column: nearest neighbours and their distance in Å.
Fractional coordinates of all 4 atoms:
As (0.5000, 0.5000, 0.7500)  8 P 2.91, 2 Sr 2.98
P (0.0000, 0.0000, 0.9327)  1 P 2.18
P (0.0000, 0.0000, 0.5673)  1 P 2.18
Sr (0.5000, 0.5000, 0.2500)  2 As 2.98, 8 P 3.29

=====

(17)
A geometry-optimized Ac5Ga2Pb structure. Source: the Alexandria database, functional PBE.

Summary:
Final energy = -67.44 eV per cell
SG = I4/mcm (140)
Fermi-level density of states = 0.872 states/eV/atom

Unit cell a=8.9334 b=8.9334 c=9.5656 alpha=117.84 beta=117.84 gamma=90.00
Last column: nearest neighbours and their distance in Å.
Fractional coordinates of all 16 atoms:
Ac (0.5164, 0.6984, 0.7148)  3 Ga 3.27-3.37
Ac (0.8016, 0.9836, 0.2852)  3 Ga 3.27-3.37
Ac (0.0000, 0.0000, 0.0000)  4 Ga 3.45, 2 Pb 3.59
Ac (0.5000, 0.5000, 0.0000)  4 Ga 3.45, 2 Pb 3.59
Ac (0.1984, 0.0164, 0.7148)  3 Ga 3.27-3.37
Ac (0.6984, 0.1984, 0.7148)  3 Ga 3.27-3.37
Ac (0.0164, 0.5164, 0.7148)  3 Ga 3.27-3.37
Ac (0.3016, 0.8016, 0.2852)  3 Ga 3.27-3.37
Ac (0.9836, 0.4836, 0.2852)  3 Ga 3.27-3.37
Ac (0.4836, 0.3016, 0.2852)  3 Ga 3.27-3.37
Ga (0.1394, 0.3606, 0.0000)  8 Ac 3.27-3.45, 1 Ga 3.52
Ga (0.6394, 0.1394, 0.0000)  8 Ac 3.27-3.45, 1 Ga 3.52
Ga (0.3606, 0.8606, 0.0000)  8 Ac 3.27-3.45, 1 Ga 3.52
Ga (0.8606, 0.6394, 0.0000)  8 Ac 3.27-3.45, 1 Ga 3.52
Pb (0.7500, 0.7500, 0.5000)  10 Ac 3.59-3.70
Pb (0.2500, 0.2500, 0.5000)  10 Ac 3.59-3.70